Record 1
DFT (PBE) results for crystalline YP2PbS8 at its relaxed geometry.

formation energy without anion corrections = -0.497 eV per atom
DOS(E_F) = 12.828 states/eV/cell
space-group type = P-3 (147)

abc: 5.990 5.990 9.101
angles: 90.00 90.00 120.00
Positions (direct):
Y  0.000  0.000  0.500
P  0.667  0.333  0.239
P  0.333  0.667  0.761
Pb  0.000  0.000  0.000
S  0.333  0.667  0.986
S  0.343  0.346  0.301
S  0.654  0.997  0.301
S  0.667  0.333  0.014
S  0.346  0.003  0.699
S  0.657  0.654  0.699
S  0.997  0.343  0.699
S  0.003  0.657  0.301

Record 2
DFT (PBE) results for crystalline BeTc2AgC at its relaxed geometry.

total energy = -4.56 eV/atom
DOS(E_F) = 4.745 states/eV/cell
space-group type = P4/mmm (123)

abc: 5.090 3.721 5.090
angles: 90.00 90.00 90.00
Positions (direct):
Be  0.500  0.500  0.500
C  0.000  0.500  0.000
Tc  0.000  0.000  0.500
Tc  0.500  0.000  0.000
Ag  0.000  0.000  0.000

Record 3
DFT (PBE) results for crystalline BaScTa2 at its relaxed geometry.

energy relative to the lowest polymorph listed for this composition = 1.65 eV per formula unit
DOS(E_F) = 5.505 states/eV/cell
space-group type = Imm2 (44)

abc: 6.385 6.385 6.385
angles: 149.91 126.84 62.30
Positions (direct):
Ba  0.516  0.516  0.000
Sc  0.223  0.723  0.500
Ta  0.973  0.973  0.000
Ta  0.788  0.288  0.500

Record 4
DFT (PBE) results for crystalline Dy2Zn7Ni at its relaxed geometry.

total energy = -2.68 eV/atom
DOS(E_F) = 6.600 states/eV/cell
space-group type = P-4m2 (115)

abc: 4.031 4.031 10.924
angles: 90.00 90.00 90.00
Positions (direct):
Dy  0.500  0.000  0.761
Dy  0.000  0.500  0.239
Zn  0.000  0.500  0.869
Zn  0.500  0.000  0.355
Zn  0.500  0.000  0.131
Zn  0.000  0.500  0.645
Zn  0.000  0.000  0.500
Zn  0.000  0.000  0.000
Zn  0.500  0.500  0.500
Ni  0.500  0.500  0.000

Record 5
DFT (PBE) results for crystalline Ta2InRh at its relaxed geometry.

total energy = -8.54 eV/atom
DOS(E_F) = 2.482 states/eV/cell
space-group type = Pmmm (47)

abc: 2.918 4.179 5.771
angles: 90.00 90.00 90.00
Positions (direct):
Ta  0.000  0.000  0.736
Ta  0.000  0.000  0.264
In  0.500  0.500  0.000
Rh  0.500  0.500  0.500

Record 6
DFT (PBE) results for crystalline LiMgCoRu at its relaxed geometry.

total energy = -4.87 eV/atom
DOS(E_F) = 2.822 states/eV/cell
space-group type = F-43m (216)

abc: 4.231 4.231 4.231
angles: 60.00 60.00 60.00
Positions (direct):
Ru  0.750  0.750  0.750
Mg  0.250  0.250  0.250
Co  0.500  0.500  0.500
Li  0.000  0.000  0.000

Record 7
DFT (PBE) results for crystalline PrThNiAu at its relaxed geometry.

energy relative to the lowest polymorph listed for this composition = 0.00 eV per formula unit
DOS(E_F) = 2.345 states/eV/cell
space-group type = Amm2 (38)

abc: 3.965 4.121 6.462
angles: 90.00 107.86 90.00
Positions (direct):
Pr  0.155  0.000  0.309
Th  0.877  0.500  0.753
Ni  0.400  0.000  0.801
Au  0.569  0.500  0.137

Record 8
DFT (PBE) results for crystalline PmMgZr2 at its relaxed geometry.

energy relative to the lowest polymorph listed for this composition = 0.07 eV per formula unit
DOS(E_F) = 3.463 states/eV/cell
space-group type = P4/mmm (123)

abc: 3.283 3.283 9.259
angles: 90.00 90.00 90.00
Positions (direct):
Mg  0.500  0.500  0.000
Zr  0.000  0.000  0.767
Zr  0.000  0.000  0.233
Pm  0.500  0.500  0.500

Record 9
DFT (PBE) results for crystalline TcNiAsSe2 at its relaxed geometry.

formation energy without anion corrections = 0.841 eV per atom
energy relative to the lowest polymorph listed for this composition = 0.24 eV per formula unit
DOS(E_F) = 6.405 states/eV/cell
space-group type = P4/mmm (123)

abc: 4.880 4.880 4.740
angles: 90.00 90.00 90.00
Positions (direct):
Ni  0.500  0.500  0.500
As  0.000  0.000  0.500
Tc  0.000  0.000  0.000
Se  0.000  0.500  0.000
Se  0.500  0.000  0.000

Record 10
DFT (PBE) results for crystalline Pm4HAu2 at its relaxed geometry.

energy relative to the lowest polymorph listed for this composition = 0.39 eV per formula unit
DOS(E_F) = 9.445 states/eV/cell
space-group type = I4/mmm (139)

abc: 4.765 4.765 8.427
angles: 106.42 106.42 90.00
Positions (direct):
H  0.000  0.000  0.000
Au  0.631  0.631  0.262
Au  0.369  0.369  0.738
Pm  0.815  0.815  0.630
Pm  0.185  0.185  0.370
Pm  0.000  0.500  0.000
Pm  0.500  0.000  0.000

Record 11
DFT (PBE) results for crystalline Cs3Sm3CrS8 at its relaxed geometry.

formation energy without anion corrections = -1.481 eV per atom
DOS(E_F) = 8.970 states/eV/cell
space-group type = R-3m (166)

abc: 8.028 8.031 9.454
angles: 115.16 90.00 119.99
Positions (direct):
Cs  0.000  0.000  0.000
Cs  0.000  0.500  0.000
Cs  0.500  0.500  0.000
Sm  0.500  0.000  0.500
Sm  0.500  0.500  0.500
Sm  0.000  0.500  0.500
Cr  0.000  0.000  0.500
S  0.271  0.542  0.313
S  0.729  0.458  0.687
S  0.796  0.591  0.331
S  0.204  0.409  0.669
S  0.796  0.035  0.331
S  0.204  0.965  0.669
S  0.240  0.035  0.331
S  0.760  0.965  0.669

Record 12
DFT (PBE) results for crystalline Tm3CdHg2 at its relaxed geometry.

energy relative to the lowest polymorph listed for this composition = 0.03 eV per formula unit
DOS(E_F) = 9.535 states/eV/cell
space-group type = P-3m1 (164)

abc: 5.193 5.193 12.785
angles: 90.00 90.00 120.00
Positions (direct):
Tm  0.333  0.667  0.418
Tm  0.667  0.333  0.081
Tm  0.000  0.000  0.752
Tm  0.000  0.000  0.248
Tm  0.333  0.667  0.919
Tm  0.667  0.333  0.582
Cd  0.333  0.667  0.668
Cd  0.667  0.333  0.332
Hg  0.000  0.000  0.500
Hg  0.333  0.667  0.173
Hg  0.667  0.333  0.827
Hg  0.000  0.000  0.000

Record 13
DFT (PBE) results for crystalline La2TaMo at its relaxed geometry.

energy relative to the lowest polymorph listed for this composition = 0.61 eV per formula unit
DOS(E_F) = 4.868 states/eV/cell
space-group type = Pm (6)

abc: 4.358 3.253 7.214
angles: 76.31 90.00 90.00
Positions (direct):
La  0.000  0.981  0.964
La  0.500  0.333  0.291
Mo  0.000  0.493  0.543
Ta  0.500  0.692  0.701

Record 14
DFT (PBE) results for crystalline Er2InSn at its relaxed geometry.

total energy = -4.37 eV/atom
DOS(E_F) = 15.100 states/eV/cell
space-group type = Pnma (62)

abc: 3.610 8.860 14.328
angles: 90.00 90.00 90.00
Positions (direct):
Er  0.750  0.303  0.501
Er  0.250  0.697  0.499
Er  0.750  0.803  0.999
Er  0.250  0.197  0.001
Er  0.750  0.207  0.761
Er  0.250  0.293  0.261
Er  0.750  0.707  0.739
Er  0.250  0.793  0.239
In  0.250  0.528  0.090
In  0.250  0.028  0.410
In  0.750  0.472  0.910
In  0.750  0.972  0.590
Sn  0.750  0.047  0.155
Sn  0.250  0.953  0.845
Sn  0.750  0.547  0.345
Sn  0.250  0.453  0.655

Record 15
DFT (PBE) results for crystalline LiHBr at its relaxed geometry.

energy relative to the lowest polymorph listed for this composition = 0.08 eV per formula unit
DOS(E_F) = 0.000 states/eV/cell
space-group type = Cm (8)

abc: 8.262 4.264 7.194
angles: 90.00 93.75 90.00
Positions (direct):
Li  0.585  0.000  0.017
Li  0.585  0.500  0.517
Li  0.193  0.000  0.334
Li  0.193  0.500  0.834
H  0.948  0.089  0.331
H  0.948  0.911  0.331
H  0.948  0.589  0.831
H  0.948  0.411  0.831
Br  0.666  0.000  0.685
Br  0.666  0.500  0.185
Br  0.258  0.000  0.001
Br  0.258  0.500  0.501

Record 16
DFT (PBE) results for crystalline NaY2GaH at its relaxed geometry.

total energy = -4.37 eV/atom
DOS(E_F) = 2.647 states/eV/cell
space-group type = P4/mmm (123)

abc: 4.850 4.850 4.319
angles: 90.00 90.00 90.00
Positions (direct):
Y  0.000  0.500  0.000
Y  0.500  0.000  0.000
Na  0.000  0.000  0.500
Ga  0.500  0.500  0.500
H  0.000  0.000  0.000

Record 17
DFT (PBE) results for crystalline MgScAs2 at its relaxed geometry.

total energy = -5.11 eV/atom
DOS(E_F) = 1.973 states/eV/cell
space-group type = R3m (160)

abc: 4.016 4.016 6.502
angles: 72.01 72.01 60.00
Positions (direct):
Mg  0.496  0.496  0.513
Sc  0.669  0.669  0.993
As  0.083  0.083  0.752
As  0.253  0.253  0.242

Record 18
DFT (PBE) results for crystalline Fe2TcC at its relaxed geometry.

total energy = -8.37 eV/atom
DOS(E_F) = 7.503 states/eV/cell
space-group type = I-42d (122)

abc: 4.769 4.769 5.629
angles: 64.94 64.94 90.00
Positions (direct):
C  0.500  0.500  0.000
C  0.250  0.750  0.500
Tc  0.000  0.000  0.000
Tc  0.750  0.250  0.500
Fe  0.542  0.125  0.250
Fe  0.208  0.625  0.250
Fe  0.375  0.458  0.750
Fe  0.875  0.792  0.750

Record 19
DFT (PBE) results for crystalline Re2NiGe at its relaxed geometry.

total energy = -8.10 eV/atom
DOS(E_F) = 5.439 states/eV/cell
space-group type = R-3m (166)

abc: 2.755 2.755 9.306
angles: 81.49 81.49 60.00
Positions (direct):
Re  0.089  0.089  0.733
Re  0.911  0.911  0.267
Ge  0.500  0.500  0.500
Ni  0.000  0.000  0.000

Record 20
DFT (PBE) results for crystalline Li4YTm at its relaxed geometry.

total energy = -2.98 eV/atom
DOS(E_F) = 5.522 states/eV/cell
space-group type = F-43m (216)

abc: 5.826 5.826 5.826
angles: 60.00 60.00 60.00
Positions (direct):
Y  0.000  0.000  0.000
Tm  0.250  0.250  0.250
Li  0.625  0.625  0.125
Li  0.625  0.125  0.625
Li  0.625  0.625  0.625
Li  0.125  0.625  0.625